# ZrCo2Sn (PBE, relaxed)
# E_tot	-6.981	eV per atom
# crystal system	hexagonal
data_ZrCo2Sn
_chemical_formula_sum 'Zr2 Co4 Sn2'
_cell_length_a 4.4061
_cell_length_b 4.4061
_cell_length_c 7.5900
_cell_angle_alpha 90.00
_cell_angle_beta 90.00
_cell_angle_gamma 120.00
_symmetry_space_group_name_H-M 'P 63/m m c'
_symmetry_Int_Tables_number 194
_symmetry_space_group_name_Hall '-P 6c 2c'
loop_
_atom_site_label
_atom_site_type_symbol
_atom_site_fract_x
_atom_site_fract_y
_atom_site_fract_z
_atom_site_occupancy
Zr1 Zr 0.0000 0.0000 0.0000 1
Co1 Co 0.3333 0.6667 0.1014 1
Sn1 Sn 0.3333 0.6667 0.7500 1